Li4Fe5CoO12 (GGA+U, optimized geometry); ρ = 4.272 g/cm3; magnetization = 6.99 Bohr magnetons per cell; ΔE to the lowest computed polymorph = 86 meV per atom
1.0
2.492 -4.344 0.000
2.492 4.344 0.000
-1.362 0.000 10.017
Li Fe Co O
4 5 1 12
direct
0.160 0.160 0.251
0.507 0.166 0.750
0.834 0.493 0.250
0.840 0.840 0.749
0.164 0.836 0.500
0.243 0.757 0.000
0.495 0.505 0.500
0.575 0.425 0.000
0.828 0.172 0.500
0.907 0.093 0.000
0.139 0.477 0.394
0.207 0.059 0.897
0.211 0.203 0.604
0.257 0.438 0.099
0.459 0.154 0.394
0.523 0.861 0.606
0.562 0.743 0.901
0.614 0.126 0.100
0.797 0.789 0.396
0.846 0.541 0.606
0.874 0.386 0.900
0.941 0.793 0.103